1.
TiZnGa2 at its PBEsol-relaxed geometry. Source: Alexandria via LeMat-Bulk, functional meta-GGA SCAN.

Summary:
Space-group type = P4/mmm (123)
V = 14.6 Å³ per atom

Lattice parameters (Å, degrees): 3.903 3.903 3.826 90.00 90.00 90.00
Fractional coordinates of all 4 atoms:
Ti  0.000  0.000  0.000
Zn  0.500  0.500  0.000
Ga  0.000  0.500  0.500
Ga  0.500  0.000  0.500

2.
Al2FeNi at its PBEsol-relaxed geometry. Source: Alexandria via LeMat-Bulk, functional meta-GGA SCAN.

Summary:
Space-group type = P4/mmm (123)
V = 11.5 Å³ per atom

Lattice parameters (Å, degrees): 3.972 3.972 2.906 90.00 90.00 90.00
Fractional coordinates of all 4 atoms:
Al  0.000  0.500  0.000
Al  0.500  0.000  0.000
Fe  0.000  0.000  0.500
Ni  0.500  0.500  0.500

no.,formation energy (eV/atom),DFT total energy (eV per cell)
1,-0.47,-64.12
2,-0.61,-52.24